# PmNd2DySb4

A geometry-optimized PmNd2DySb4 structure (PBE-GGA, the Alexandria database).

Unit cell a=7.762 b=4.485 c=7.762 alpha=90.00 beta=109.48 gamma=90.00
Space group P2/m (No. 10)
Unique sites:
Pm 0.000 0.000 0.000 (multiplicity 1)
Nd 0.000 0.500 0.500 (multiplicity 1)
Nd 0.500 0.000 0.500 (multiplicity 1)
Dy 0.500 0.500 0.000 (multiplicity 1)
Sb 0.252 0.500 0.246 (multiplicity 2)
Sb 0.255 0.000 0.757 (multiplicity 2)

Properties
formation energy without anion corrections = -113.0 kJ per mole of atoms